Record 1
Material: LaAgP
Method: DFT, PBE-GGA
State: optimized geometry

Results
Formation enthalpy at 0 K   -378 meV per atom

Unit cell a=5.002 b=5.002 c=6.400 alpha=90.00 beta=90.00 gamma=120.00
Fractional coordinates of all 6 atoms:
P 0.000 0.000 0.237
P 0.000 0.000 0.737
La 0.333 0.667 0.487
La 0.667 0.333 0.987
Ag 0.667 0.333 0.486
Ag 0.333 0.667 0.986



Record 2
Material: CrN2
Method: DFT, PBE-GGA
State: optimized geometry

Results
E_form (uncorrected)   -0.50 eV/f.u.

Unit cell a=2.750 b=2.750 c=11.127 alpha=90.00 beta=90.00 gamma=120.00
Fractional coordinates of all 9 atoms:
Cr 0.000 0.000 0.000
Cr 0.667 0.333 0.333
Cr 0.333 0.667 0.667
N 0.333 0.667 0.225
N 0.333 0.667 0.108
N 0.000 0.000 0.559
N 0.000 0.000 0.441
N 0.667 0.333 0.892
N 0.667 0.333 0.775



Record 3
Material: Cu2BiWS
Method: DFT, PBE-GGA
State: optimized geometry

Results
E_form (uncorrected)   3.87 eV/f.u.

Unit cell a=4.928 b=4.427 c=4.928 alpha=90.00 beta=90.00 gamma=90.00
Fractional coordinates of all 5 atoms:
Cu 0.000 0.000 0.500
Cu 0.500 0.000 0.000
Bi 0.500 0.500 0.500
W 0.000 0.000 0.000
S 0.000 0.500 0.000



Record 4
Material: Sc5Pt
Method: DFT, PBE-GGA
State: optimized geometry

Results
Polymorph energy (0 for the lowest one)   108.9 meV/atom
Formation enthalpy at 0 K   -316 meV per atom

Unit cell a=5.548 b=5.548 c=4.800 alpha=90.00 beta=90.00 gamma=120.00
Fractional coordinates of all 6 atoms:
Sc 0.333 0.667 0.500
Sc 0.304 0.304 0.000
Sc 0.667 0.333 0.500
Sc 0.696 0.000 0.000
Sc 0.000 0.696 0.000
Pt 0.000 0.000 0.500



Record 5
Material: TbSm2Te
Method: DFT, PBE-GGA
State: optimized geometry

Results
Polymorph energy (0 for the lowest one)   100.4 meV/atom
E_form (uncorrected)   -2.29 eV/f.u.

Unit cell a=3.932 b=3.932 c=7.987 alpha=90.00 beta=90.00 gamma=90.00
Fractional coordinates of all 4 atoms:
Sm 0.000 0.000 0.276
Sm 0.000 0.000 0.724
Tb 0.500 0.500 0.000
Te 0.500 0.500 0.500